LiCaY: optimized geometry, PBE.

Computed properties:
As for the offset from the most stable computed form: 0.123 eV per atom. The calculation puts the spin magnetization at 0.000 μB per formula unit. The calculation puts the total energy at -3.30 eV per atom.

a = 3.6091 Å, b = 3.6091 Å, c = 8.5396 Å
α = 90.00°, β = 90.00°, γ = 120.00°
With the nearest neighbours (Å) after each atom.
Space group P3m1 (No. 156)
One atom of each set of equivalent atoms:
Li  0.0000  0.0000  0.0000 (multiplicity 1)  3 Y 3.36, 3 Ca 3.52, 6 Li 3.61
Ca  0.3333  0.6667  0.6679 (multiplicity 1)  3 Li 3.52, 6 Ca 3.61, 3 Y 3.71
Y  0.6667  0.3333  0.3082 (multiplicity 1)  3 Li 3.36, 6 Y 3.61, 3 Ca 3.71